This record from the Alexandria database describes an optimized crystal structure of Ho2ZnAg2. The functional is GGA-PBE.

abc: 3.893 5.663 11.064
angles: 91.79 79.87 69.89
Sites, in units of the cell vectors:
Ag (0.114, 0.230, 0.542)
Ag (0.886, 0.770, 0.458)
Ag (0.644, 0.823, 0.889)
Ag (0.356, 0.177, 0.111)
Ho (0.342, 0.648, 0.668)
Ho (0.921, 0.265, 0.892)
Ho (0.079, 0.735, 0.108)
Ho (0.658, 0.352, 0.332)
Zn (0.613, 0.088, 0.685)
Zn (0.387, 0.912, 0.315)

Results
ΔE to the lowest computed polymorph = 0.000 eV per atom
Space-group type = C2/m
Crystal system = monoclinic
Calculated total energy = -3.51 eV per atom
Energy of formation from the pure elements = -0.2842 eV/atom

This record from the Alexandria database describes an optimized crystal structure of Pr8Sm5Th. The functional is GGA-PBE.

abc: 9.738 7.364 9.725
angles: 112.28 120.03 100.87
Sites, in units of the cell vectors:
Sm (0.057, 0.937, 0.238)
Sm (0.912, 0.930, 0.806)
Sm (0.055, 0.428, 0.238)
Sm (0.480, 0.927, 0.516)
Sm (0.336, 0.920, 0.083)
Pr (0.476, 0.426, 0.515)
Pr (0.774, 0.937, 0.382)
Pr (0.337, 0.429, 0.084)
Pr (0.620, 0.921, 0.941)
Pr (0.621, 0.429, 0.942)
Pr (0.916, 0.431, 0.807)
Pr (0.773, 0.429, 0.380)
Pr (0.196, 0.928, 0.660)
Th (0.196, 0.429, 0.659)

Results
Space-group type = P1
Crystal system = triclinic
Calculated total energy = -4.92 eV per atom
Energy of formation from the pure elements = 0.0254 eV/atom

This record from the Alexandria database describes an optimized crystal structure of CaBPd3. The functional is GGA-PBE.

abc: 13.870 7.648 7.648
angles: 156.39 147.52 32.48
Sites, in units of the cell vectors:
B (0.555, 0.021, 0.979)
B (0.445, 0.979, 0.021)
Pd (0.871, 0.807, 0.193)
Pd (0.688, 0.328, 0.672)
Pd (0.312, 0.672, 0.328)
Pd (0.444, 0.376, 0.624)
Pd (0.129, 0.193, 0.807)
Pd (0.556, 0.624, 0.376)
Ca (0.848, 0.018, 0.982)
Ca (0.152, 0.982, 0.018)

Results
Space-group type = C2/m
Crystal system = monoclinic
Calculated total energy = -5.14 eV per atom
Energy of formation from the pure elements = -0.2872 eV/atom

This record from the Alexandria database describes an optimized crystal structure of AgGe2F. The functional is GGA-PBE.

abc: 4.411 4.411 8.521
angles: 75.00 75.00 90.00
Sites, in units of the cell vectors:
Ge (0.375, 0.456, 0.750)
Ge (0.544, 0.125, 0.250)
Ge (0.206, 0.625, 0.250)
Ge (0.875, 0.794, 0.750)
Ag (0.000, 0.000, 0.000)
Ag (0.750, 0.250, 0.500)
F (0.250, 0.750, 0.500)
F (0.500, 0.500, 0.000)

Results
Formation energy from raw total energies = -1.08 eV/f.u.
Space-group type = I-42d
Crystal system = tetragonal
Calculated total energy = -3.76 eV per atom